SrNdCuSi3 (PBE, relaxed); energy above the lowest structure with this stoichiometry = 0.00 eV per formula unit; E_tot = -4.998 eV per atom; calculated volume = 128.0 Å³/f.u.
1.0
0.000 4.408 7.126
4.076 0.000 7.126
4.076 4.408 0.000
Sr Nd Cu Si
2 2 2 6
direct
0.250 0.250 0.250 Sr
0.750 0.750 0.750 Sr
0.242 0.758 0.242 Nd
0.758 0.242 0.758 Nd
0.334 0.334 0.666 Cu
0.666 0.666 0.334 Cu
0.166 0.166 0.834 Si
0.172 0.663 0.828 Si
0.337 0.828 0.663 Si
0.663 0.172 0.337 Si
0.828 0.337 0.172 Si
0.834 0.834 0.166 Si

***

MgCd2Sn (PBE, relaxed); E_tot = -1.825 eV per atom; calculated volume = 93.1 Å³/f.u.
1.0
0.000 3.597 3.597
3.597 0.000 3.597
3.597 3.597 0.000
Mg Cd Sn
1 2 1
direct
0.000 0.000 0.000 Mg
0.250 0.250 0.250 Cd
0.500 0.500 0.500 Cd
0.750 0.750 0.750 Sn

***

SrPr (PBE, relaxed); energy above the lowest structure with this stoichiometry = 0.22 eV per formula unit; E_tot = -2.964 eV per atom; calculated volume = 85.7 Å³/f.u.
1.0
3.790 0.000 0.000
-1.895 3.282 0.000
0.000 0.000 13.779
Sr Pr
2 2
direct
0.333 0.667 0.000 Sr
0.667 0.333 0.500 Sr
0.333 0.667 0.736 Pr
0.667 0.333 0.236 Pr

***

AcZrZn (PBE, relaxed); energy above the lowest structure with this stoichiometry = 0.00 eV per formula unit; E_tot = -4.293 eV per atom; calculated formation energy = 1.04 eV/f.u.; calculated volume = 88.3 Å³/f.u.
1.0
0.000 3.534 3.534
3.534 0.000 3.534
3.534 3.534 0.000
Ac Zr Zn
1 1 1
direct
0.000 0.000 0.000 Ac
0.500 0.500 0.500 Zr
0.250 0.250 0.250 Zn

***

NdHo2Bi3 (PBE, relaxed); E_tot = -5.232 eV per atom; calculated volume = 193.1 Å³/f.u.
1.0
4.492 0.000 0.000
-2.246 3.890 0.000
0.000 0.000 11.050
Nd Ho Bi
1 2 3
direct
0.000 0.000 0.000 Nd
0.333 0.667 0.337 Ho
0.667 0.333 0.663 Ho
0.000 0.000 0.500 Bi
0.333 0.667 0.826 Bi
0.667 0.333 0.174 Bi

***

TlNiHgPd (PBE, relaxed); energy above the lowest structure with this stoichiometry = 0.00 eV per formula unit; E_tot = -3.262 eV per atom; calculated volume = 70.6 Å³/f.u.
1.0
0.000 3.281 3.281
3.281 0.000 3.281
3.281 3.281 0.000
Tl Ni Hg Pd
1 1 1 1
direct
0.000 0.000 0.000 Tl
0.250 0.250 0.250 Ni
0.500 0.500 0.500 Hg
0.750 0.750 0.750 Pd